[1]
Li4MoCl at its PBEsol-relaxed geometry, computed with meta-GGA SCAN. Values from VASP.

Summary:
* space-group type: No. 216
* total DFT energy (no corrections): -49.84 eV for the cell shown

The structure in Quantum ESPRESSO input format:
```
&SYSTEM
  ibrav = 0, nat = 6, ntyp = 3
/
ATOMIC_SPECIES
Li 6.94 Li.upf
Cl 35.45 Cl.upf
Mo 95.94 Mo.upf
CELL_PARAMETERS angstrom
5.305 0.000 0.000
2.652 4.594 0.000
2.652 1.531 4.331
ATOMIC_POSITIONS angstrom
Li 5.305 3.063 3.766
Li 3.998 2.308 1.632
Li 6.611 2.308 1.632
Cl 0.000 0.000 0.000
Li 5.305 4.571 1.632
Mo 7.957 4.594 3.248
```


[2]
LiMoCl3 at its PBEsol-relaxed geometry, computed with meta-GGA SCAN. Values from VASP.

Summary:
* space-group type: No. 221
* total DFT energy (no corrections): -63.36 eV for the cell shown

The structure in Quantum ESPRESSO input format:
```
&SYSTEM
  ibrav = 0, nat = 5, ntyp = 3
/
ATOMIC_SPECIES
Cl 35.45 Cl.upf
Li 6.94 Li.upf
Mo 95.94 Mo.upf
CELL_PARAMETERS angstrom
4.527 0.000 0.000
0.000 4.527 0.000
0.000 0.000 4.527
ATOMIC_POSITIONS angstrom
Cl 2.264 0.000 0.000
Li 0.000 0.000 0.000
Mo 2.264 2.264 2.264
Cl 0.000 2.264 0.000
Cl 0.000 0.000 2.264
```


[3]
Li2MoCl at its PBEsol-relaxed geometry, computed with meta-GGA SCAN. Values from VASP.

Summary:
* space-group type: No. 35
* total DFT energy (no corrections): -47.31 eV for the cell shown

The structure in Quantum ESPRESSO input format:
```
&SYSTEM
  ibrav = 0, nat = 4, ntyp = 3
/
ATOMIC_SPECIES
Cl 35.45 Cl.upf
Li 6.94 Li.upf
Mo 95.94 Mo.upf
CELL_PARAMETERS angstrom
-1.955 2.117 -0.104
0.110 -1.794 -2.255
-5.891 -5.251 3.889
ATOMIC_POSITIONS angstrom
Cl -2.357 -1.117 -0.233
Li -0.230 -0.205 0.152
Li -5.299 -3.738 1.709
Mo -2.797 -2.493 1.847
```


[4]
Li2MoCl at its PBEsol-relaxed geometry, computed with meta-GGA SCAN. Values from VASP.

Summary:
* space-group type: No. 65
* total DFT energy (no corrections): -47.03 eV for the cell shown

The structure in Quantum ESPRESSO input format:
```
&SYSTEM
  ibrav = 0, nat = 4, ntyp = 3
/
ATOMIC_SPECIES
Cl 35.45 Cl.upf
Li 6.94 Li.upf
Mo 95.94 Mo.upf
CELL_PARAMETERS angstrom
2.769 0.000 0.000
0.000 4.735 0.000
0.000 -2.367 4.513
ATOMIC_POSITIONS angstrom
Cl 1.385 2.367 0.000
Li 0.000 1.184 2.257
Mo 1.385 0.000 0.000
Li 0.000 -1.184 2.257
```


[5]
Li6NCl3 at its PBEsol-relaxed geometry, computed with meta-GGA SCAN. Values from VASP.

Summary:
* space-group type: No. 8
* total DFT energy (no corrections): -61.40 eV for the cell shown

The structure in Quantum ESPRESSO input format:
```
&SYSTEM
  ibrav = 0, nat = 10, ntyp = 3
/
ATOMIC_SPECIES
Li 6.94 Li.upf
Cl 35.45 Cl.upf
N 14.01 N.upf
CELL_PARAMETERS angstrom
3.676 -0.001 0.000
-1.835 3.186 0.000
-1.693 -1.146 13.137
ATOMIC_POSITIONS angstrom
Li -1.537 0.888 8.727
Li 1.991 0.974 0.014
Li 0.300 1.951 11.452
Li 0.276 1.965 5.444
Cl -1.565 0.904 6.476
Li 0.149 -0.086 2.123
Cl 0.301 -0.174 9.823
Li 0.153 2.036 0.469
Cl 0.152 2.037 3.194
N -1.684 3.098 0.164
```


[6]
Li5NCl2 at its PBEsol-relaxed geometry, computed with meta-GGA SCAN. Values from VASP.

Summary:
* space-group type: No. 166
* total DFT energy (no corrections): -47.35 eV for the cell shown

The structure in Quantum ESPRESSO input format:
```
&SYSTEM
  ibrav = 0, nat = 8, ntyp = 3
/
ATOMIC_SPECIES
N 14.01 N.upf
Li 6.94 Li.upf
Cl 35.45 Cl.upf
CELL_PARAMETERS angstrom
-2.748 2.026 1.148
-2.140 -1.197 2.639
4.019 4.307 7.673
ATOMIC_POSITIONS angstrom
N 0.000 0.000 0.000
Li 0.616 4.756 10.034
Cl 0.326 1.671 3.481
Cl -1.195 3.464 7.978
Li -1.485 0.379 1.426
Li -3.749 1.642 5.080
Li 2.880 3.494 6.379
Li -0.435 2.568 5.730
```


[7]
Li4NCl at its PBEsol-relaxed geometry, computed with meta-GGA SCAN. Values from VASP.

Summary:
* space-group type: No. 166
* total DFT energy (no corrections): -32.93 eV for the cell shown

The structure in Quantum ESPRESSO input format:
```
&SYSTEM
  ibrav = 0, nat = 6, ntyp = 3
/
ATOMIC_SPECIES
N 14.01 N.upf
Li 6.94 Li.upf
Cl 35.45 Cl.upf
CELL_PARAMETERS angstrom
3.610 0.000 0.000
1.805 3.126 0.000
1.805 1.042 6.532
ATOMIC_POSITIONS angstrom
N 0.000 0.000 0.000
Li 3.610 2.084 0.238
Li 3.610 2.084 6.293
Li 1.805 1.042 4.627
Li 5.415 3.126 1.904
Cl 3.610 2.084 3.266
```


[8]
Li5NCl2 at its PBEsol-relaxed geometry, computed with meta-GGA SCAN. Values from VASP.

Summary:
* space-group type: No. 10
* total DFT energy (no corrections): -94.23 eV for the cell shown

The structure in Quantum ESPRESSO input format:
```
&SYSTEM
  ibrav = 0, nat = 16, ntyp = 3
/
ATOMIC_SPECIES
Li 6.94 Li.upf
N 14.01 N.upf
Cl 35.45 Cl.upf
CELL_PARAMETERS angstrom
-3.369 0.787 -0.999
-2.250 -5.207 3.484
-0.666 5.912 6.906
ATOMIC_POSITIONS angstrom
Li -3.354 1.989 6.388
Li -1.706 -0.696 5.204
Li -1.210 1.401 5.186
Li -3.842 -0.126 6.369
Li -2.931 -0.497 3.003
Li -2.652 -0.580 8.489
N -1.931 0.504 6.911
Li -0.805 -1.060 1.878
Li -2.111 1.765 8.512
Cl -3.794 -1.957 4.764
Cl -2.810 -2.210 1.243
Cl 0.000 0.000 0.000
Cl -2.491 3.449 4.628
Li -0.263 1.285 1.901
Li -2.443 1.618 3.023
N -0.984 0.201 3.479
```